Record 1
VASP calculation (PBE) on a geometry-optimized LaSbPt2 structure.

The density of states at the Fermi level is 0.72 states/eV per atom. The uncorrected formation energy is -0.79 eV/atom. The crystal system is trigonal. As for the raw total energy: -72.869 eV per cell. The volume is 23.44 Å³/atom.

The space group is R3m (No. 160, hexagonal axes) and the conventional cell measures 4.5205, 4.5205 and 15.8927 Å, with angles of 90.00, 90.00 and 120.00 degrees. The inequivalent atoms are La at (0.0000, 0.0000, 0.0000), Sb at (0.0000, 0.0000, 0.7941), Pt at (0.0000, 0.0000, 0.2250) and Pt at (0.0000, 0.0000, 0.5035).

Record 2
VASP calculation (PBE) on a geometry-optimized LaSb2Pt2 structure.

The density of states at the Fermi level is 0.48 states/eV per atom. The uncorrected formation energy is -0.81 eV/atom. The crystal system is tetragonal. As for the raw total energy: -58.605 eV per cell. The volume is 23.64 Å³/atom.

The space group is I4/mmm (No. 139) and the conventional cell measures 4.809, 4.809 and 10.223 Å, with angles of 90.00, 90.00 and 90.00 degrees. The inequivalent atoms are La at (0.000, 0.000, 0.000), Sb at (0.000, 0.500, 0.250) and Pt at (0.000, 0.000, 0.368).

Record 3
VASP calculation (PBE) on a geometry-optimized La2SbPt6 structure.

The density of states at the Fermi level is 0.46 states/eV per atom. The uncorrected formation energy is -0.89 eV/atom. The crystal system is monoclinic. As for the raw total energy: -116.552 eV per cell. The volume is 20.42 Å³/atom.

The space group is C2/m (No. 12) and the conventional cell measures 10.054, 5.804 and 6.474 Å, with angles of 90.00, 103.32 and 90.00 degrees. The inequivalent atoms are La at (0.138, 0.000, 0.337), Sb at (0.000, 0.500, 0.500), Pt at (0.121, 0.500, 0.179) and Pt at (0.141, 0.240, 0.818).

Record 4
VASP calculation (PBE) on a geometry-optimized LaSb2Pt structure.

The density of states at the Fermi level is 0.64 states/eV per atom. The uncorrected formation energy is -0.50 eV/atom. The crystal system is tetragonal. As for the raw total energy: -21.226 eV per cell. The volume is 26.81 Å³/atom.

The space group is P4mm (No. 99) and the conventional cell measures 3.432, 3.432 and 9.104 Å, with angles of 90.00, 90.00 and 90.00 degrees. The inequivalent atoms are La at (0.000, 0.000, 0.000), Sb at (0.000, 0.000, 0.389), Sb at (0.500, 0.500, 0.737) and Pt at (0.500, 0.500, 0.234).

Record 5
VASP calculation (PBE) on a geometry-optimized LaSbPt4 structure.

The density of states at the Fermi level is 0.31 states/eV per atom. The uncorrected formation energy is -0.70 eV/atom. The crystal system is cubic. As for the raw total energy: -149.534 eV per cell. The calculation puts the relative energy among the computed polymorphs at 0 meV/atom. The volume is 19.54 Å³/atom.

The space group is F-43m (No. 216) and the conventional cell measures 7.769, 7.769 and 7.769 Å, with angles of 90.00, 90.00 and 90.00 degrees. The inequivalent atoms are La at (0.000, 0.000, 0.000), Sb at (0.250, 0.250, 0.250) and Pt at (0.125, 0.125, 0.625).

Record 6
VASP calculation (PBE) on a geometry-optimized LaSb2Pt structure.

The density of states at the Fermi level is 0.55 states/eV per atom. The uncorrected formation energy is -0.55 eV/atom. The crystal system is tetragonal. As for the raw total energy: -21.424 eV per cell. The volume is 25.65 Å³/atom.

The space group is P4mm (No. 99) and the conventional cell measures 3.979, 3.979 and 6.480 Å, with angles of 90.00, 90.00 and 90.00 degrees. The inequivalent atoms are La at (0.000, 0.000, 0.000), Sb at (0.000, 0.000, 0.487), Sb at (0.500, 0.500, 0.766) and Pt at (0.500, 0.500, 0.341).

Record 7
VASP calculation (PBE) on a geometry-optimized LaSbPt3 structure.

The density of states at the Fermi level is 0.23 states/eV per atom. The uncorrected formation energy is -0.32 eV/atom. The crystal system is cubic. As for the raw total energy: -28.764 eV per cell. The calculation puts the relative energy among the computed polymorphs at 387 meV/atom. The volume is 24.91 Å³/atom.

The space group is Pm-3m (No. 221) and the conventional cell measures 4.994, 4.994 and 4.994 Å, with angles of 90.00, 90.00 and 90.00 degrees. The inequivalent atoms are La at (0.000, 0.000, 0.000), Sb at (0.500, 0.500, 0.500) and Pt at (0.000, 0.500, 0.500).

Record 8
VASP calculation (PBE) on a geometry-optimized LaSbPt structure.

The density of states at the Fermi level is 0.69 states/eV per atom. The uncorrected formation energy is -0.75 eV/atom. The crystal system is monoclinic. As for the raw total energy: -69.372 eV per cell. The volume is 28.06 Å³/atom.

The space group is C2/m (No. 12) and the conventional cell measures 7.396, 5.246 and 8.735 Å, with angles of 90.00, 96.56 and 90.00 degrees. The inequivalent atoms are La at (0.030, 0.000, 0.206), Sb at (0.198, 0.500, 0.448) and Pt at (0.191, 0.500, 0.998).

Record 9
VASP calculation (PBE) on a geometry-optimized LaSbPt2 structure.

The density of states at the Fermi level is 0.46 states/eV per atom. The uncorrected formation energy is -0.73 eV/atom. The crystal system is monoclinic. As for the raw total energy: -48.130 eV per cell. The volume is 21.96 Å³/atom.

The space group is C2/m (No. 12) and the conventional cell measures 6.723, 6.752 and 3.871 Å, with angles of 90.00, 90.12 and 90.00 degrees. The inequivalent atoms are La at (0.000, 0.000, 0.000), Sb at (0.000, 0.500, 0.000) and Pt at (0.250, 0.250, 0.500).

Record 10
VASP calculation (PBE) on a geometry-optimized LaSb2Pt4 structure.

The density of states at the Fermi level is 0.40 states/eV per atom. The uncorrected formation energy is -0.73 eV/atom. The crystal system is monoclinic. As for the raw total energy: -169.701 eV per cell. The volume is 21.41 Å³/atom.

The space group is P2_1/c (No. 14) and the conventional cell measures 4.775, 7.308 and 17.178 Å, with angles of 90.00, 90.88 and 90.00 degrees. The inequivalent atoms are La at (0.236, 0.014, 0.355), Sb at (0.272, 0.539, 0.298), Sb at (0.279, 0.736, 0.529), Pt at (0.037, 0.078, 0.078), Pt at (0.251, 0.691, 0.688), Pt at (0.261, 0.106, 0.525) and Pt at (0.262, 0.248, 0.704).

Record 11
VASP calculation (PBE) on a geometry-optimized La3Sb5Pt6 structure.

The density of states at the Fermi level is 0.59 states/eV per atom. The uncorrected formation energy is -0.92 eV/atom. The crystal system is orthorhombic. As for the raw total energy: -169.080 eV per cell. The volume is 22.59 Å³/atom.

The space group is Pmmn (No. 59, origin choice 2) and the conventional cell measures 4.490, 13.592 and 10.365 Å, with angles of 90.00, 90.00 and 90.00 degrees. The inequivalent atoms are La at (0.250, 0.077, 0.246), La at (0.250, 0.750, 0.258), Sb at (0.250, 0.073, 0.617), Sb at (0.250, 0.614, 0.988), Sb at (0.250, 0.750, 0.700), Pt at (0.250, 0.072, 0.873), Pt at (0.250, 0.250, 0.012), Pt at (0.250, 0.250, 0.487) and Pt at (0.250, 0.613, 0.513).

Record 12
VASP calculation (PBE) on a geometry-optimized La4SbPt structure.

The density of states at the Fermi level is 1.30 states/eV per atom. The uncorrected formation energy is -0.80 eV/atom. The crystal system is monoclinic. As for the raw total energy: -69.363 eV per cell. The calculation puts the relative energy among the computed polymorphs at 0 meV/atom. The volume is 32.20 Å³/atom.

The space group is P2_1/m (No. 11) and the conventional cell measures 6.453, 7.018 and 9.110 Å, with angles of 90.00, 110.50 and 90.00 degrees. The inequivalent atoms are La at (0.013, 0.002, 0.218), La at (0.392, 0.250, 0.614), La at (0.431, 0.250, 0.088), Sb at (0.218, 0.750, 0.552) and Pt at (0.248, 0.750, 0.065).